Compound: YAsOsO
Source: OQMD via LeMat-Bulk
Functional: GGA-PBE
Structure: optimized geometry

Cell lengths 4.307, 4.307, 6.800 Å; angles 90.00, 90.00, 90.00 degrees
Element x y z (fractional)
Y 0.500 0.500 0.000
Y 0.000 0.000 0.000
Os 0.000 0.500 0.646
Os 0.500 0.000 0.354
O 0.500 0.500 0.500
O 0.000 0.000 0.500
As 0.500 0.000 0.714
As 0.000 0.500 0.286

Summary:
Energy   -6.700 eV/atom
Space-group type   P4/nmm (129)
Energy relative to the lowest polymorph listed for this composition   1.7849 eV/atom

Compound: Er5Sb3
Source: OQMD via LeMat-Bulk
Functional: GGA-PBE
Structure: optimized geometry

Cell lengths 11.740, 9.223, 8.059 Å; angles 90.00, 90.00, 90.00 degrees
Element x y z (fractional)
Er 0.272 0.750 0.327
Er 0.566 0.441 0.309
Er 0.066 0.441 0.191
Er 0.710 0.750 0.656
Er 0.290 0.250 0.344
Er 0.772 0.750 0.173
Er 0.004 0.250 0.524
Er 0.934 0.559 0.809
Er 0.504 0.250 0.976
Er 0.934 0.941 0.809
Er 0.228 0.250 0.827
Er 0.728 0.250 0.673
Er 0.434 0.941 0.691
Er 0.210 0.750 0.844
Er 0.496 0.750 0.024
Er 0.566 0.059 0.309
Er 0.996 0.750 0.476
Er 0.790 0.250 0.156
Er 0.434 0.559 0.691
Er 0.066 0.059 0.191
Sb 0.524 0.750 0.404
Sb 0.174 0.509 0.564
Sb 0.674 0.991 0.936
Sb 0.476 0.250 0.596
Sb 0.326 0.009 0.064
Sb 0.024 0.750 0.096
Sb 0.174 0.991 0.564
Sb 0.826 0.491 0.436
Sb 0.826 0.009 0.436
Sb 0.326 0.491 0.064
Sb 0.674 0.509 0.936
Sb 0.976 0.250 0.904

Summary:
Energy   -5.278 eV/atom
Space-group type   Pnma (62)
Energy relative to the lowest polymorph listed for this composition   0.0069 eV/atom

Compound: CoHgAsIr
Source: OQMD via LeMat-Bulk
Functional: GGA-PBE
Structure: optimized geometry

Cell lengths 4.473, 4.473, 4.473 Å; angles 60.00, 60.00, 60.00 degrees
Element x y z (fractional)
Hg 0.500 0.500 0.500
Co 0.750 0.750 0.750
Ir 0.250 0.250 0.250
As 0.000 0.000 0.000

Summary:
Energy   -4.786 eV/atom
Space-group type   F-43m (216)
Energy relative to the lowest polymorph listed for this composition   0.0000 eV/atom

Compound: Np2TeCS
Source: OQMD via LeMat-Bulk
Functional: GGA-PBE
Structure: optimized geometry

Cell lengths 3.828, 3.828, 9.751 Å; angles 90.00, 90.00, 120.00 degrees
Element x y z (fractional)
S 0.667 0.333 0.709
Te 0.333 0.667 0.323
Np 0.667 0.333 0.111
Np 0.333 0.667 0.857
C 0.000 0.000 0.000

Summary:
Energy   -8.833 eV/atom
Space-group type   P3m1 (156)

Compound: PuReAs
Source: OQMD via LeMat-Bulk
Functional: GGA-PBE
Structure: optimized geometry

Cell lengths 4.418, 4.418, 4.418 Å; angles 60.00, 60.00, 60.00 degrees
Element x y z (fractional)
Re 0.250 0.250 0.250
Pu 0.500 0.500 0.500
As 0.000 0.000 0.000

Summary:
Energy   -10.238 eV/atom
Space-group type   F-43m (216)
Energy relative to the lowest polymorph listed for this composition   0.0000 eV/atom

Compound: Li2ZnGe
Source: OQMD via LeMat-Bulk
Functional: GGA-PBE
Structure: optimized geometry

Cell lengths 4.310, 4.310, 4.310 Å; angles 60.00, 60.00, 60.00 degrees
Element x y z (fractional)
Li 0.000 0.000 0.000
Li 0.750 0.750 0.750
Zn 0.250 0.250 0.250
Ge 0.500 0.500 0.500

Summary:
Energy   -2.750 eV/atom
Space-group type   F-43m (216)

Compound: TaPdPt
Source: OQMD via LeMat-Bulk
Functional: GGA-PBE
Structure: optimized geometry

Cell lengths 4.323, 4.323, 4.323 Å; angles 60.00, 60.00, 60.00 degrees
Element x y z (fractional)
Pt 0.250 0.250 0.250
Pd 0.750 0.750 0.750
Ta 0.000 0.000 0.000

Summary:
Energy   -7.869 eV/atom
Space-group type   F-43m (216)
Energy relative to the lowest polymorph listed for this composition   0.0000 eV/atom

Compound: TmGeB4
Source: OQMD via LeMat-Bulk
Functional: GGA-PBE
Structure: optimized geometry

Cell lengths 5.026, 5.026, 5.026 Å; angles 143.39, 118.64, 73.62 degrees
Element x y z (fractional)
Ge 0.500 0.500 0.000
Tm 0.000 0.000 0.000
B 0.413 0.737 0.676
B 0.062 0.737 0.324
B 0.938 0.263 0.676
B 0.587 0.263 0.324

Summary:
Energy   -6.084 eV/atom
Space-group type   Immm (71)
Energy relative to the lowest polymorph listed for this composition   0.0000 eV/atom

Compound: FeRe5Pd2
Source: OQMD via LeMat-Bulk
Functional: GGA-PBE
Structure: optimized geometry

Cell lengths 4.373, 5.516, 5.516 Å; angles 60.02, 90.00, 90.00 degrees
Element x y z (fractional)
Re 0.000 0.160 0.684
Re 0.500 0.317 0.846
Re 0.500 0.846 0.317
Re 0.500 0.839 0.839
Re 0.000 0.684 0.160
Pd 0.000 0.666 0.666
Pd 0.500 0.330 0.330
Fe 0.000 0.158 0.158

Summary:
Energy   -10.082 eV/atom
Space-group type   Amm2 (38)

Compound: ScZnB4
Source: OQMD via LeMat-Bulk
Functional: GGA-PBE
Structure: optimized geometry

Cell lengths 4.706, 4.706, 4.706 Å; angles 141.41, 113.37, 79.72 degrees
Element x y z (fractional)
Zn 0.500 0.500 0.000
B 0.588 0.263 0.325
B 0.062 0.737 0.325
B 0.412 0.737 0.675
B 0.938 0.263 0.675
Sc 0.000 0.000 0.000

Summary:
Energy   -6.000 eV/atom
Space-group type   Immm (71)
Energy relative to the lowest polymorph listed for this composition   0.0000 eV/atom

Compound: DySnAsO
Source: OQMD via LeMat-Bulk
Functional: GGA-PBE
Structure: optimized geometry

Cell lengths 4.085, 4.085, 10.125 Å; angles 90.10, 90.10, 90.00 degrees
Element x y z (fractional)
Dy 0.750 0.750 0.899
Dy 0.250 0.250 0.099
Sn 0.250 0.750 0.501
Sn 0.750 0.250 0.501
As 0.751 0.751 0.273
As 0.249 0.249 0.729
O 0.250 0.750 0.999
O 0.750 0.250 0.999

Summary:
Energy   -6.008 eV/atom
Space-group type   Cm (8)
Energy relative to the lowest polymorph listed for this composition   0.0000 eV/atom

Compound: Cu2Ag3
Source: OQMD via LeMat-Bulk
Functional: GGA-PBE
Structure: optimized geometry

Cell lengths 22.282, 22.282, 22.282 Å; angles 7.34, 7.34, 7.34 degrees
Element x y z (fractional)
Cu 0.698 0.698 0.698
Cu 0.199 0.199 0.199
Cu 0.003 0.003 0.003
Cu 0.801 0.801 0.801
Ag 0.101 0.101 0.101
Ag 0.304 0.304 0.304
Ag 0.897 0.897 0.897
Ag 0.600 0.600 0.600
Ag 0.398 0.398 0.398
Ag 0.500 0.500 0.500

Summary:
Energy   -3.088 eV/atom
Space-group type   R3m (160)
Energy relative to the lowest polymorph listed for this composition   0.0610 eV/atom